DFT (PBE-GGA) results for a relaxed La3CeDy2Sb6 crystal.

Cell: 11.975 11.975 7.842 Å, 139.81 139.81 69.06°
Last column: magnetic moment on the atom in μB.
Sites, in units of the cell vectors:
Sb 0.080 0.415 0.733  -0.01
Sb 0.415 0.080 0.733  -0.01
Sb 0.743 0.743 0.724  -0.01
Sb 0.920 0.585 0.267  -0.01
Sb 0.585 0.920 0.267  -0.01
Sb 0.257 0.257 0.276  -0.01
La 0.500 0.500 0.500  0.00
La 0.834 0.166 0.500  0.00
La 0.166 0.834 0.500  0.00
Ce 0.000 0.000 0.000  0.64
Dy 0.333 0.667 0.000  0.00
Dy 0.667 0.333 0.000  0.00

Calculated values
As for the theoretical density: 6.81 g/cm³. The calculation puts the formation energy from raw total energies at -1.19 eV/atom. The value obtained for the density of states at the Fermi level is 6.6 states/eV/f.u. The calculation puts the final energy at -5.74 eV/atom.

=====

DFT (PBE-GGA) results for a relaxed LaCe2DySb4 crystal.

Cell: 4.505 7.804 7.802 Å, 70.55 90.00 90.00°
Last column: magnetic moment on the atom in μB.
Sites, in units of the cell vectors:
Sb 0.500 0.252 0.743  -0.02
Sb 0.000 0.753 0.742  -0.02
Sb 0.500 0.748 0.257  -0.02
Sb 0.000 0.247 0.258  -0.02
Ce 0.000 0.000 0.000  0.79
Ce 0.500 0.000 0.500  0.70
La 0.500 0.500 0.000  0.00
Dy 0.000 0.500 0.500  -0.01

Calculated values
As for the theoretical density: 6.86 g/cm³. The calculation puts the formation energy from raw total energies at -1.12 eV/atom. The value obtained for the density of states at the Fermi level is 13.1 states/eV/f.u. The calculation puts the final energy at -5.85 eV/atom.

=====

DFT (PBE-GGA) results for a relaxed LaCeDy2Sb4 crystal.

Cell: 4.477 7.733 7.764 Å, 70.55 90.00 90.00°
Last column: magnetic moment on the atom in μB.
Sites, in units of the cell vectors:
Sb 0.000 0.759 0.751  -0.01
Sb 0.500 0.239 0.757  -0.01
Sb 0.000 0.241 0.249  -0.01
Sb 0.500 0.761 0.243  -0.01
La 0.000 0.500 0.500  0.00
Dy 0.000 0.000 0.000  0.00
Dy 0.500 0.000 0.500  0.00
Ce 0.500 0.500 0.000  0.72

Calculated values
As for the theoretical density: 7.15 g/cm³. The calculation puts the formation energy from raw total energies at -1.14 eV/atom. The value obtained for the density of states at the Fermi level is 7.8 states/eV/f.u. The calculation puts the final energy at -5.71 eV/atom.

=====

DFT (PBE-GGA) results for a relaxed LaCe2Dy3Sb6 crystal.

Cell: 7.742 7.742 7.719 Å, 99.63 99.63 119.99°
Last column: magnetic moment on the atom in μB.
Sites, in units of the cell vectors:
La 0.000 0.000 0.000  0.00
Sb 0.252 0.252 0.742  -0.01
Sb 0.748 0.748 0.258  -0.01
Sb 0.087 0.424 0.259  -0.01
Sb 0.913 0.576 0.741  -0.01
Sb 0.424 0.087 0.259  -0.01
Sb 0.576 0.913 0.741  -0.01
Ce 0.667 0.333 0.000  0.73
Ce 0.333 0.667 0.000  0.73
Dy 0.500 0.500 0.500  0.00
Dy 0.165 0.835 0.500  0.00
Dy 0.835 0.165 0.500  0.00

Calculated values
As for the theoretical density: 7.20 g/cm³. The calculation puts the formation energy from raw total energies at -1.13 eV/atom. The value obtained for the density of states at the Fermi level is 13.0 states/eV/f.u. The calculation puts the final energy at -5.74 eV/atom.

=====

DFT (PBE-GGA) results for a relaxed LaCeDySc crystal.

Cell: 5.605 5.605 5.605 Å, 60.00 60.00 60.00°
Last column: magnetic moment on the atom in μB.
Sites, in units of the cell vectors:
La 0.750 0.750 0.750  -0.02
Sc 0.000 0.000 0.000  -0.02
Ce 0.250 0.250 0.250  0.56
Dy 0.500 0.500 0.500  -0.01

Calculated values
As for the theoretical density: 6.49 g/cm³. The value obtained for the density of states at the Fermi level is 9.3 states/eV/f.u. The calculation puts the final energy at -5.30 eV/atom. The formation enthalpy at 0 K is 0.15 eV/atom.

=====

DFT (PBE-GGA) results for a relaxed La4CeDy3Se8 crystal.

Cell: 8.392 8.452 8.392 Å, 119.77 120.00 90.00°
Last column: magnetic moment on the atom in μB.
Sites, in units of the cell vectors:
La 0.500 0.000 0.000  0.00
La 0.000 0.000 0.500  -0.01
La 0.500 0.000 0.500  -0.01
La 0.000 0.000 0.000  -0.01
Dy 0.500 0.500 0.000  -0.01
Dy 0.500 0.500 0.500  -0.01
Dy 0.000 0.500 0.500  -0.01
Se 0.257 0.269 0.513  0.00
Se 0.740 0.734 0.987  0.00
Se 0.260 0.266 0.013  0.00
Se 0.753 0.266 0.505  0.00
Se 0.743 0.731 0.487  0.00
Se 0.247 0.734 0.495  0.00
Se 0.247 0.734 0.987  0.00
Se 0.753 0.266 0.013  0.00
Ce 0.000 0.500 0.000  -0.66

Calculated values
As for the theoretical density: 7.13 g/cm³. The calculation puts the formation energy from raw total energies at -1.89 eV/atom. The value obtained for the density of states at the Fermi level is 13.5 states/eV/f.u. The calculation puts the final energy at -6.09 eV/atom.

=====

DFT (PBE-GGA) results for a relaxed LaCe2Dy3Se6 crystal.

Cell: 7.156 7.156 7.284 Å, 99.43 99.43 120.07°
Last column: magnetic moment on the atom in μB.
Sites, in units of the cell vectors:
Dy 0.500 0.500 0.500  -0.01
Dy 0.836 0.164 0.500  -0.01
Dy 0.164 0.836 0.500  -0.01
Ce 0.333 0.667 0.000  0.82
Ce 0.667 0.333 0.000  0.82
Se 0.250 0.250 0.738  -0.01
Se 0.750 0.750 0.262  -0.01
Se 0.574 0.911 0.735  -0.01
Se 0.426 0.089 0.265  -0.01
Se 0.911 0.574 0.735  -0.01
Se 0.089 0.426 0.265  -0.01
La 0.000 0.000 0.000  0.03

Calculated values
As for the theoretical density: 7.52 g/cm³. The calculation puts the formation energy from raw total energies at -1.82 eV/atom. The value obtained for the density of states at the Fermi level is 14.9 states/eV/f.u. The calculation puts the final energy at -6.12 eV/atom.

=====

DFT (PBE-GGA) results for a relaxed LaCe2DySe5 crystal.

Cell: 5.144 5.144 11.083 Å, 90.00 90.00 90.00°
Last column: magnetic moment on the atom in μB.
Sites, in units of the cell vectors:
Se 0.500 0.500 0.000  -0.01
Se 0.000 0.500 0.500  -0.01
Se 0.500 0.000 0.500  -0.01
Se 0.000 0.000 0.250  -0.01
Se 0.000 0.000 0.750  -0.01
La 0.000 0.000 0.000  0.06
Ce 0.500 0.500 0.682  1.38
Ce 0.500 0.500 0.318  1.38
Dy 0.000 0.000 0.500  0.10

Calculated values
As for the theoretical density: 5.53 g/cm³. The calculation puts the formation energy from raw total energies at -1.37 eV/atom. The value obtained for the density of states at the Fermi level is 19.1 states/eV/f.u. The calculation puts the final energy at -5.68 eV/atom.

=====

DFT (PBE-GGA) results for a relaxed LaCeDySe3 crystal.

Cell: 4.126 8.147 10.511 Å, 103.56 90.00 90.00°
Last column: magnetic moment on the atom in μB.
Sites, in units of the cell vectors:
Se 0.250 0.532 0.817  0.00
Se 0.250 0.096 0.891  0.00
Se 0.750 0.468 0.183  0.00
Se 0.750 0.904 0.109  0.00
Se 0.250 0.792 0.573  -0.01
Se 0.750 0.208 0.427  -0.01
Ce 0.250 0.174 0.618  1.15
Ce 0.750 0.826 0.382  1.15
Dy 0.750 0.338 0.903  0.22
Dy 0.250 0.662 0.097  0.22
La 0.250 0.185 0.203  0.03
La 0.750 0.815 0.797  0.03

Calculated values
As for the theoretical density: 6.56 g/cm³. The calculation puts the formation energy from raw total energies at -1.66 eV/atom. The value obtained for the density of states at the Fermi level is 7.8 states/eV/f.u. The calculation puts the final energy at -5.98 eV/atom.

=====

DFT (PBE-GGA) results for a relaxed LaCeSm2Dy5 crystal.

Cell: 8.690 8.690 9.943 Å, 115.91 115.91 90.00°
Last column: magnetic moment on the atom in μB.
Sites, in units of the cell vectors:
Dy 0.338 0.838 0.274  0.06
Dy 0.000 0.000 0.000  -0.03
Dy 0.500 0.500 0.000  -0.03
Dy 0.436 0.338 0.274  0.06
Dy 0.162 0.064 0.726  0.06
Dy 0.838 0.936 0.274  0.06
Dy 0.064 0.564 0.726  0.06
Dy 0.564 0.662 0.726  0.06
Dy 0.936 0.436 0.274  0.06
Dy 0.662 0.162 0.726  0.06
Ce 0.750 0.250 0.500  0.79
Ce 0.250 0.750 0.500  0.79
Sm 0.880 0.620 0.000  -0.02
Sm 0.380 0.880 0.000  -0.02
Sm 0.620 0.120 0.000  -0.02
Sm 0.120 0.380 0.000  -0.02
La 0.750 0.750 0.500  0.01
La 0.250 0.250 0.500  0.01

Calculated values
As for the theoretical density: 7.83 g/cm³. The value obtained for the density of states at the Fermi level is 15.0 states/eV/f.u. The calculation puts the final energy at -4.55 eV/atom. The formation enthalpy at 0 K is 0.27 eV/atom.

=====

DFT (PBE-GGA) results for a relaxed LaCeSm2Dy2 crystal.

Cell: 3.384 6.546 18.109 Å, 90.00 90.00 90.00°
Last column: magnetic moment on the atom in μB.
Sites, in units of the cell vectors:
Dy 0.000 0.297 0.146  0.04
Dy 0.500 0.203 0.646  0.04
Dy 0.500 0.797 0.354  0.04
Dy 0.000 0.703 0.854  0.04
Ce 0.000 0.000 0.500  0.70
Ce 0.500 0.500 0.000  0.70
La 0.000 0.000 0.000  0.03
La 0.500 0.500 0.500  0.03
Sm 0.500 0.292 0.313  -0.01
Sm 0.000 0.208 0.813  -0.01
Sm 0.000 0.792 0.187  -0.01
Sm 0.500 0.708 0.687  -0.01

Calculated values
As for the theoretical density: 7.49 g/cm³. The value obtained for the density of states at the Fermi level is 13.5 states/eV/f.u. The calculation puts the final energy at -4.63 eV/atom. The formation enthalpy at 0 K is 0.28 eV/atom.

=====

DFT (PBE-GGA) results for a relaxed LaCeSmDy crystal.

Cell: 5.766 5.766 5.766 Å, 60.00 60.00 60.00°
Last column: magnetic moment on the atom in μB.
Sites, in units of the cell vectors:
Ce 0.500 0.500 0.500  1.14
La 0.250 0.250 0.250  0.30
Sm 0.750 0.750 0.750  0.30
Dy 0.000 0.000 0.000  0.40

Calculated values
As for the theoretical density: 7.25 g/cm³. The value obtained for the density of states at the Fermi level is 10.3 states/eV/f.u. The calculation puts the final energy at -4.85 eV/atom. The formation enthalpy at 0 K is 0.20 eV/atom.

=====

DFT (PBE-GGA) results for a relaxed LaCe2Sm3Dy6 crystal.

Cell: 6.200 6.200 11.780 Å, 95.03 95.03 120.02°
Last column: magnetic moment on the atom in μB.
Sites, in units of the cell vectors:
Dy 0.083 0.420 0.248  0.01
Dy 0.917 0.580 0.752  0.01
Dy 0.420 0.083 0.248  0.01
Dy 0.580 0.917 0.752  0.01
Dy 0.254 0.254 0.752  0.01
Dy 0.746 0.746 0.248  0.01
Ce 0.333 0.667 0.000  0.71
Ce 0.667 0.333 0.000  0.71
Sm 0.834 0.166 0.500  -0.01
Sm 0.166 0.834 0.500  -0.01
Sm 0.500 0.500 0.500  -0.01
La 0.000 0.000 0.000  0.02

Calculated values
As for the theoretical density: 7.94 g/cm³. The value obtained for the density of states at the Fermi level is 21.7 states/eV/f.u. The calculation puts the final energy at -4.83 eV/atom. The formation enthalpy at 0 K is 0.05 eV/atom.

=====

DFT (PBE-GGA) results for a relaxed LaCeSm6Dy2 crystal.

Cell: 9.017 6.831 6.656 Å, 120.87 102.34 90.00°
Last column: magnetic moment on the atom in μB.
Sites, in units of the cell vectors:
Sm 0.417 0.632 0.265  0.03
Sm 0.583 0.368 0.735  0.03
Sm 0.195 0.592 0.661  0.03
Sm 0.195 0.069 0.661  0.03
Sm 0.805 0.408 0.339  0.03
Sm 0.805 0.931 0.339  0.03
Dy 0.162 0.091 0.183  0.06
Dy 0.838 0.909 0.817  0.06
La 0.500 0.000 0.000  0.01
Ce 0.000 0.500 0.000  0.77

Calculated values
As for the theoretical density: 7.34 g/cm³. The value obtained for the density of states at the Fermi level is 23.8 states/eV/f.u. The calculation puts the final energy at -4.60 eV/atom. The formation enthalpy at 0 K is 0.24 eV/atom.

=====

DFT (PBE-GGA) results for a relaxed LaCeDySn crystal.

Cell: 5.488 5.488 5.488 Å, 60.00 60.00 60.00°
Last column: magnetic moment on the atom in μB.
Sites, in units of the cell vectors:
La 0.750 0.750 0.750  0.00
Sn 0.000 0.000 0.000  -0.01
Ce 0.500 0.500 0.500  0.51
Dy 0.250 0.250 0.250  0.01

Calculated values
As for the theoretical density: 7.96 g/cm³. The value obtained for the density of states at the Fermi level is 8.0 states/eV/f.u. The calculation puts the final energy at -5.07 eV/atom. The formation enthalpy at 0 K is -0.20 eV/atom.

=====

DFT (PBE-GGA) results for a relaxed La6TbCeDy2 crystal.

Cell: 9.025 6.895 7.007 Å, 119.47 107.57 90.00°
Last column: magnetic moment on the atom in μB.
Sites, in units of the cell vectors:
Dy 0.821 0.898 0.796  0.02
Dy 0.179 0.102 0.204  0.02
La 0.194 0.596 0.709  0.02
La 0.194 0.113 0.709  0.02
La 0.583 0.335 0.670  0.00
La 0.806 0.404 0.291  0.02
La 0.806 0.887 0.291  0.02
La 0.417 0.665 0.330  0.00
Tb 0.500 0.000 0.000  -0.03
Ce 0.000 0.500 0.000  0.72

Calculated values
As for the theoretical density: 6.80 g/cm³. The value obtained for the density of states at the Fermi level is 23.2 states/eV/f.u. The calculation puts the final energy at -4.71 eV/atom. The formation enthalpy at 0 K is 0.22 eV/atom.

=====

DFT (PBE-GGA) results for a relaxed LaTbCeDy crystal.

Cell: 5.734 5.734 5.734 Å, 60.00 60.00 60.00°
Last column: magnetic moment on the atom in μB.
Sites, in units of the cell vectors:
La 0.250 0.250 0.250  -0.01
Tb 0.000 0.000 0.000  0.00
Dy 0.500 0.500 0.500  0.00
Ce 0.750 0.750 0.750  0.66

Calculated values
As for the theoretical density: 7.48 g/cm³. The value obtained for the density of states at the Fermi level is 10.7 states/eV/f.u. The calculation puts the final energy at -4.85 eV/atom. The formation enthalpy at 0 K is 0.17 eV/atom.

=====

DFT (PBE-GGA) results for a relaxed LaTb6Ce2Dy3 crystal.

Cell: 6.166 6.166 11.810 Å, 95.00 95.00 120.02°
Last column: magnetic moment on the atom in μB.
Sites, in units of the cell vectors:
Tb 0.747 0.747 0.251  0.01
Tb 0.579 0.916 0.749  0.01
Tb 0.916 0.579 0.749  0.01
Tb 0.253 0.253 0.749  0.01
Tb 0.084 0.421 0.251  0.01
Tb 0.421 0.084 0.251  0.01
Dy 0.500 0.500 0.500  -0.01
Dy 0.167 0.833 0.500  -0.01
Dy 0.833 0.167 0.500  -0.01
Ce 0.333 0.667 0.000  0.71
Ce 0.667 0.333 0.000  0.71
La 0.000 0.000 0.000  0.03

Calculated values
As for the theoretical density: 8.07 g/cm³. The value obtained for the density of states at the Fermi level is 23.2 states/eV/f.u. The calculation puts the final energy at -4.82 eV/atom. The formation enthalpy at 0 K is 0.05 eV/atom.

=====

DFT (PBE-GGA) results for a relaxed LaTb2CeDy crystal.

Cell: 6.269 8.571 6.157 Å, 94.52 90.00 90.00°
Last column: magnetic moment on the atom in μB.
Sites, in units of the cell vectors:
Dy 0.827 0.500 0.250  -0.03
Dy 0.173 0.500 0.750  -0.03
Tb 0.685 0.688 0.774  0.02
Tb 0.315 0.688 0.274  0.02
Tb 0.315 0.312 0.226  0.02
Tb 0.685 0.312 0.726  0.02
Ce 0.539 0.000 0.250  0.56
Ce 0.461 0.000 0.750  0.56
La 0.000 0.000 0.000  0.01
La 0.000 0.000 0.500  0.01

Calculated values
As for the theoretical density: 7.65 g/cm³. The value obtained for the density of states at the Fermi level is 10.7 states/eV/f.u. The calculation puts the final energy at -4.66 eV/atom. The formation enthalpy at 0 K is 0.28 eV/atom.

=====

DFT (PBE-GGA) results for a relaxed La2Tb3CeDy6 crystal.

Cell: 6.209 6.209 11.824 Å, 95.02 95.02 120.03°
Last column: magnetic moment on the atom in μB.
Sites, in units of the cell vectors:
La 0.666 0.334 0.000  0.02
La 0.334 0.666 0.000  0.02
Dy 0.754 0.754 0.253  0.01
Dy 0.246 0.246 0.747  0.01
Dy 0.414 0.084 0.253  0.01
Dy 0.916 0.586 0.747  0.01
Dy 0.084 0.414 0.253  0.01
Dy 0.586 0.916 0.747  0.01
Tb 0.167 0.833 0.500  -0.01
Tb 0.500 0.500 0.500  -0.01
Tb 0.833 0.167 0.500  -0.01
Ce 0.000 0.000 0.000  0.74

Calculated values
As for the theoretical density: 7.99 g/cm³. The value obtained for the density of states at the Fermi level is 20.4 states/eV/f.u. The calculation puts the final energy at -4.74 eV/atom. The formation enthalpy at 0 K is 0.04 eV/atom.